## HfCoO3 (PBE+U)

Data for HfCoO3 after structural relaxation.

Cell: 5.3151 5.3151 13.9539 Å, 90.00 90.00 120.00°
Space group R-3 (No. 148, hexagonal axes)
Symmetry-distinct sites (fractional):
Hf 0.0000 0.0000 0.1438 [6 per cell]
Co 0.0000 0.0000 0.3574 [6 per cell]
O 0.0060 0.7031 0.7516 [18 per cell]

Properties
VASP energy: -8.448 eV/atom
Total magnetic moment: 3.0 μB per formula unit